(1)
# PuTcN2 PBE optimized geometry
# Raw formation energy (eV/atom): -0.6943
# Crystal system: trigonal
# Total magnetic moment (μB/f.u.): 3.0
data_PuTcN2
_chemical_formula_sum 'Pu3 Tc3 N6'
_cell_length_a 3.3788
_cell_length_b 3.3788
_cell_length_c 14.3476
_cell_angle_alpha 90.00
_cell_angle_beta 90.00
_cell_angle_gamma 120.00
_space_group_name_H-M_alt 'R -3 m'
_space_group_IT_number 166
_space_group_name_Hall '-R 3 2"'
loop_
_atom_site_label
_atom_site_fract_x
_atom_site_fract_y
_atom_site_fract_z
Pu1 0.0000 0.0000 0.0000
Tc1 0.0000 0.0000 0.5000
N1 0.0000 0.0000 0.2406

=====

(2)
# Pu4TcN7 PBE optimized geometry
# Raw formation energy (eV/atom): -0.8012
# Crystal system: monoclinic
# Total magnetic moment (μB/f.u.): 1.0
data_Pu4TcN7
_chemical_formula_sum 'Pu8 Tc2 N14'
_cell_length_a 12.628
_cell_length_b 3.812
_cell_length_c 8.986
_cell_angle_alpha 90.00
_cell_angle_beta 133.25
_cell_angle_gamma 90.00
_space_group_name_H-M_alt 'C 1 2/m 1'
_space_group_IT_number 12
loop_
_space_group_symop_operation_xyz
'x,y,z'
'-x,-y,-z'
'-x,y,-z'
'x,-y,z'
'x+1/2,y+1/2,z'
'-x+1/2,-y+1/2,-z'
'-x+1/2,y+1/2,-z'
'x+1/2,-y+1/2,z'
loop_
_atom_site_label
_atom_site_fract_x
_atom_site_fract_y
_atom_site_fract_z
Pu1 0.084 0.000 0.377
Pu2 0.241 0.500 0.827
Tc1 0.000 0.500 0.000
N1 0.000 0.000 0.000
N2 0.102 0.500 0.896
N3 0.128 0.000 0.682
N4 0.201 0.500 0.546

=====

(3)
# Pu3TcN PBE optimized geometry
# Raw formation energy (eV/atom): -0.2019
# Crystal system: cubic
# Total magnetic moment (μB/f.u.): 14.7
data_Pu3TcN
_chemical_formula_sum 'Pu3 Tc1 N1'
_cell_length_a 4.695
_cell_length_b 4.695
_cell_length_c 4.695
_cell_angle_alpha 90.00
_cell_angle_beta 90.00
_cell_angle_gamma 90.00
_space_group_name_H-M_alt 'P m -3 m'
_space_group_IT_number 221
_space_group_name_Hall '-P 4 2 3'
loop_
_atom_site_label
_atom_site_fract_x
_atom_site_fract_y
_atom_site_fract_z
Pu1 0.000 0.000 0.500
Tc1 0.500 0.500 0.500
N1 0.000 0.000 0.000

=====

(4)
# PuTcN2 PBE optimized geometry
# Raw formation energy (eV/atom): -0.7497
# Crystal system: orthorhombic
# Total magnetic moment (μB/f.u.): 4.7
data_PuTcN2
_chemical_formula_sum 'Pu4 Tc4 N8'
_cell_length_a 5.533
_cell_length_b 3.244
_cell_length_c 10.771
_cell_angle_alpha 90.00
_cell_angle_beta 90.00
_cell_angle_gamma 90.00
_space_group_name_H-M_alt 'P n m a'
_space_group_IT_number 62
loop_
_space_group_symop_operation_xyz
'x,y,z'
'-x,-y,-z'
'-x+1/2,-y,z+1/2'
'x+1/2,y,-z+1/2'
'x+1/2,-y+1/2,-z+1/2'
'-x+1/2,y+1/2,z+1/2'
'-x,y+1/2,-z'
'x,-y+1/2,z'
loop_
_atom_site_label
_atom_site_fract_x
_atom_site_fract_y
_atom_site_fract_z
Pu1 0.078 0.250 0.143
Tc1 0.073 0.750 0.399
N1 0.158 0.250 0.755
N2 0.249 0.250 0.497

=====

(5)
# PuTcN4 PBE optimized geometry
# Raw formation energy (eV/atom): -0.0053
# Crystal system: monoclinic
# Total magnetic moment (μB/f.u.): 2.9
data_PuTcN4
_chemical_formula_sum 'Pu2 Tc2 N8'
_cell_length_a 5.726
_cell_length_b 4.858
_cell_length_c 5.833
_cell_angle_alpha 90.00
_cell_angle_beta 112.80
_cell_angle_gamma 90.00
_space_group_name_H-M_alt 'P 1 21/c 1'
_space_group_IT_number 14
loop_
_space_group_symop_operation_xyz
'x,y,z'
'-x,-y,-z'
'-x,y+1/2,-z+1/2'
'x,-y+1/2,z+1/2'
loop_
_atom_site_label
_atom_site_fract_x
_atom_site_fract_y
_atom_site_fract_z
Pu1 0.000 0.000 0.000
Tc1 0.500 0.000 0.500
N1 0.174 0.191 0.373
N2 0.362 0.706 0.682

=====

(6)
# PuTc2N3 PBE optimized geometry
# Raw formation energy (eV/atom): -0.2966
# Crystal system: orthorhombic
# Total magnetic moment (μB/f.u.): 2.6
data_PuTc2N3
_chemical_formula_sum 'Pu2 Tc4 N6'
_cell_length_a 4.460
_cell_length_b 9.672
_cell_length_c 3.422
_cell_angle_alpha 90.00
_cell_angle_beta 90.00
_cell_angle_gamma 90.00
_space_group_name_H-M_alt 'P m m n'
_space_group_IT_number 59
loop_
_space_group_symop_operation_xyz
'x,y,z'
'-x,-y,-z'
'-x+1/2,-y+1/2,z'
'x+1/2,y+1/2,-z'
'x+1/2,-y,-z'
'-x+1/2,y,z'
'-x,y+1/2,-z'
'x,-y+1/2,z'
loop_
_atom_site_label
_atom_site_fract_x
_atom_site_fract_y
_atom_site_fract_z
Pu1 0.250 0.250 0.009
Tc1 0.250 0.598 0.486
N1 0.250 0.105 0.512
N2 0.250 0.750 0.017

=====

(7)
# Pu2TcN4 PBE optimized geometry
# Raw formation energy (eV/atom): -0.7720
# Crystal system: orthorhombic
# Total magnetic moment (μB/f.u.): 8.5
data_Pu2TcN4
_chemical_formula_sum 'Pu8 Tc4 N16'
_cell_length_a 5.391
_cell_length_b 11.818
_cell_length_c 5.627
_cell_angle_alpha 90.00
_cell_angle_beta 90.00
_cell_angle_gamma 90.00
_space_group_name_H-M_alt 'C m c e'
_space_group_IT_number 64
_space_group_name_Hall '-C 2ac 2'
loop_
_atom_site_label
_atom_site_fract_x
_atom_site_fract_y
_atom_site_fract_z
Pu1 0.000 0.142 0.025
Tc1 0.000 0.000 0.500
N1 0.000 0.181 0.428
N2 0.250 0.017 0.750

=====

(8)
# PuTh2TcN4 PBE optimized geometry
# Raw formation energy (eV/atom): -1.0035
# Crystal system: orthorhombic
# Total magnetic moment (μB/f.u.): 4.5
data_PuTh2TcN4
_chemical_formula_sum 'Pu4 Th8 Tc4 N16'
_cell_length_a 3.430
_cell_length_b 12.036
_cell_length_c 11.961
_cell_angle_alpha 90.00
_cell_angle_beta 90.00
_cell_angle_gamma 90.00
_space_group_name_H-M_alt 'C m c m'
_space_group_IT_number 63
_space_group_name_Hall '-C 2c 2'
loop_
_atom_site_label
_atom_site_fract_x
_atom_site_fract_y
_atom_site_fract_z
Pu1 0.000 0.114 0.250
Th1 0.000 0.368 0.053
Tc1 0.000 0.147 0.750
N1 0.000 0.000 0.000
N2 0.000 0.278 0.633
N3 0.000 0.464 0.250

=====

Look up the raw formation energy of the sixth one. -0.2966 eV/atom

=====

Number 2 is which compound? Pu4TcN7

=====

Which value of raw formation energy does entry 8 give? -1.0035 eV/atom

=====

Which of these has the lowest raw formation energy? PuTh2TcN4